VASP calculation (GGA-PBEsol) on a relaxed structure of BeSnTe2.

Properties
symmetry	I-42d
ΔE_f (raw)	-0.10	eV/atom
polymorph energy (0 for the lowest one)	0.0	meV/atom
theoretical density	5.89	Mg/m³
crystal system	tetragonal

a b c (Å): 7.167 6.583 7.167
angles (deg): 57.02 90.00 122.98
Sites, in units of the cell vectors:
Be: 0.250 0.500 0.250
Be: 0.500 0.000 0.500
Te: 0.549 0.750 0.375
Te: 0.201 0.750 0.875
Te: 0.875 0.250 0.549
Te: 0.375 0.250 0.201
Sn: 0.750 0.500 0.750
Sn: 0.000 0.000 0.000